A) Compound: KLi3I
Source: Alexandria via LeMat-Bulk
Functional: PBE
Structure: optimized geometry

Computed properties:
**SG**: Pm-3m (221)

```
data_KLi3I
_chemical_formula_sum 'K1 Li3 I1'
_cell_length_a 6.063
_cell_length_b 6.063
_cell_length_c 6.063
_cell_angle_alpha 90.00
_cell_angle_beta 90.00
_cell_angle_gamma 90.00
_space_group_name_H-M_alt 'P 1'
_space_group_IT_number 1
loop_
_space_group_symop_operation_xyz
'x,y,z'
loop_
_atom_site_label
_atom_site_type_symbol
_atom_site_fract_x
_atom_site_fract_y
_atom_site_fract_z
K1 K 0.000 0.000 0.000
Li1 Li 0.000 0.000 0.500
Li2 Li 0.000 0.500 0.000
Li3 Li 0.500 0.000 0.000
I1 I 0.500 0.500 0.500
```

B) Compound: KLi3I
Source: Alexandria via LeMat-Bulk
Functional: PBE
Structure: optimized geometry

Computed properties:
**SG**: Pm-3m (221)

```
data_KLi3I
_chemical_formula_sum 'K1 Li3 I1'
_cell_length_a 5.674
_cell_length_b 5.674
_cell_length_c 5.674
_cell_angle_alpha 90.00
_cell_angle_beta 90.00
_cell_angle_gamma 90.00
_space_group_name_H-M_alt 'P 1'
_space_group_IT_number 1
loop_
_space_group_symop_operation_xyz
'x,y,z'
loop_
_atom_site_label
_atom_site_type_symbol
_atom_site_fract_x
_atom_site_fract_y
_atom_site_fract_z
K1 K 0.000 0.000 0.000
Li1 Li 0.000 0.500 0.500
Li2 Li 0.500 0.000 0.500
Li3 Li 0.500 0.500 0.000
I1 I 0.500 0.500 0.500
```

On energetic grounds, B) is preferred over the next structure by 553 meV per atom.